Compound: CeSnPd
Source: the Alexandria database
Functional: PBE
Structure: optimized geometry

Geometry as CIF:
```
data_CeSnPd
_symmetry_space_group_name_H-M 'P -6 m 2'
_symmetry_Int_Tables_number 187
_symmetry_space_group_name_Hall 'P -6 2'
_cell_length_a 4.7307
_cell_length_b 4.7307
_cell_length_c 3.6590
_cell_angle_alpha 90.00
_cell_angle_beta 90.00
_cell_angle_gamma 120.00
loop_
_atom_site_label
_atom_site_type_symbol
_atom_site_fract_x
_atom_site_fract_y
_atom_site_fract_z
Ce1 Ce 0.0000 0.0000 0.0000
Sn1 Sn 0.3333 0.6667 0.5000
Pd1 Pd 0.6667 0.3333 0.5000
```

Values from the calculation:
Raw total energy (eV per atom): -5.845
Crystal system: hexagonal